Record 1
Np3As2S: optimized geometry, PBE.

extended XYZ file:
```
24
Lattice="6.8956 0.0218 -1.2738 -2.6472 6.3672 -1.2738 0.0007 0.0010 12.8314" Properties=species:S:1:pos:R:3 pbc="T T T"
Np 4.1658 1.0175 9.6057
As 3.4527 0.0183 -0.6100
Np -1.2885 3.2364 5.7579
Np 0.7661 6.3263 4.5259
S 3.8953 5.8581 8.3599
Np 0.0478 5.3193 0.6994
Np 1.0273 1.5449 -0.6160
S -0.6149 4.2494 3.2180
S 0.0925 5.3133 7.0658
S 0.3537 0.5319 1.9239
Np 2.4693 3.7867 7.0939
As 1.7755 2.6702 9.6577
Np 4.9221 2.1550 0.6782
As 4.1609 1.0834 3.2420
As 1.0674 1.6052 5.8056
As 2.4735 3.7198 0.6262
As 5.5677 3.1990 10.8939
As 3.1817 4.7849 4.4782
Np 1.7122 2.6482 3.1900
Np 0.3772 0.4940 8.3889
Np 3.9393 5.8511 1.8950
As 4.8595 2.1340 7.0419
Np -0.6377 4.2883 9.5844
Np 3.2211 4.8441 -1.9315
```

Properties
* energy relative to the elements, uncorrected: -0.911 eV/atom
* energy: -0.354 Ha/atom

Record 2
Ag8IF6: optimized geometry, PBE.

extended XYZ file:
```
15
Lattice="6.3629 0.3892 0.4019 0.1906 6.3719 0.4019 0.1906 0.1966 6.3816" Properties=species:S:1:pos:R:3 pbc="T T T"
F 2.8081 5.5270 4.5916
Ag 5.6706 1.6017 4.1205
F 2.4224 4.0134 1.5135
Ag 1.6883 1.7418 1.7988
Ag 5.0557 5.2159 5.3866
F 3.9359 1.4307 2.5938
Ag 1.0734 5.3560 3.0649
Ag 2.8560 1.1630 5.4519
Ag 5.3199 3.0234 1.3379
F 4.3216 2.9443 5.6719
Ag 3.8880 5.7947 1.7335
I 0.0000 0.0000 0.0000
F 5.4367 4.4933 3.1254
F 1.3073 2.4644 4.0600
Ag 1.4241 3.9343 5.8475
```

Properties
* energy relative to the elements, uncorrected: -0.792 eV/atom
* energy: -0.116 Ha/atom

Record 3
LiMgC2: optimized geometry, PBE.

extended XYZ file:
```
8
Lattice="-1.9413 -2.8748 -0.1794 2.8752 -1.9211 -0.3283 0.7995 -3.0380 6.4033" Properties=species:S:1:pos:R:3 pbc="T T T"
Li 2.0708 -3.6785 2.9105
C 1.3866 -2.8638 1.3392
Mg -0.3374 -4.1554 2.9850
Mg 0.0000 0.0000 0.0000
C -0.2864 -2.2520 1.4816
Li 0.4670 -2.3979 -0.2539
C 0.8724 -6.1111 4.4203
C 1.4943 -4.4407 4.5499
```

Properties
* energy: -0.155 Ha/atom

Record 4
YCd11Ga: optimized geometry, PBE.

extended XYZ file:
```
13
Lattice="-1.3964 4.9289 2.9081 -7.1668 2.1447 -1.2493 -2.8157 -1.3942 6.9774" Properties=species:S:1:pos:R:3 pbc="T T T"
Cd -5.7513 4.7505 6.9929
Ga -4.2816 3.5368 0.8294
Cd -5.6275 0.9289 1.6434
Y 0.0000 0.0000 0.0000
Cd -2.5206 1.5943 2.0413
Cd -6.9651 2.2281 4.7654
Cd -2.1060 1.7674 4.9428
Cd -8.8583 4.0851 6.5949
Cd -3.5834 1.0723 -0.6246
Cd -4.4482 1.8185 6.7021
Cd -1.4078 -0.6971 3.4887
Cd -6.9307 3.8609 1.9341
Cd -4.4137 3.4513 3.8709
```

Properties
* energy: -0.058 Ha/atom

Record 5
MnAl2Au: optimized geometry, PBE.

extended XYZ file:
```
4
Lattice="8.9038 0.0078 0.0046 8.4314 2.8617 0.0046 8.4314 1.3957 2.4983" Properties=species:S:1:pos:R:3 pbc="T T T"
Mn 19.2451 3.1857 1.8729
Al 6.4352 1.0652 0.6263
Al 0.0914 0.0151 0.0089
Au 12.8791 2.1319 1.2533
```

Properties
* energy: -0.185 Ha/atom

Record 6
LaZr2MoSe: optimized geometry, PBE.

extended XYZ file:
```
5
Lattice="4.9914 0.0000 0.0000 0.0000 4.9914 0.0000 0.0000 0.0000 5.5457" Properties=species:S:1:pos:R:3 pbc="T T T"
Zr 2.4957 0.0000 0.0000
La 0.0000 0.0000 2.7729
Zr 0.0000 2.4957 0.0000
Mo 2.4957 2.4957 2.7729
Se 0.0000 0.0000 0.0000
```

Properties
* energy relative to the elements, uncorrected: 0.377 eV/atom
* energy: -0.253 Ha/atom

Record 7
ZrNiAs: optimized geometry, PBE.

extended XYZ file:
```
3
Lattice="-1.0933 -2.4376 4.7167 -1.7161 -4.4275 2.2427 2.6596 -1.4055 1.1913" Properties=species:S:1:pos:R:3 pbc="T T T"
As -2.6784 -6.7344 6.8212
Ni 0.7336 -3.3282 3.2226
Zr -1.0145 -5.0733 5.0663
```

Properties
* energy: -0.248 Ha/atom

Record 8
HfTlGa2Cl8: optimized geometry, PBE.

extended XYZ file:
```
12
Lattice="6.6787 0.2102 0.2191 0.2252 6.4931 0.3637 0.2849 0.5156 8.7517" Properties=species:S:1:pos:R:3 pbc="T T T"
Tl 0.1425 0.2578 4.3758
Cl 2.6424 2.3062 4.6189
Cl 2.2290 1.9953 8.8596
Cl 4.5464 4.9128 4.7156
Cl 1.6235 5.6279 7.3943
Hf 0.0000 0.0000 0.0000
Cl 5.5653 1.5911 1.9402
Cl 1.1972 5.0676 2.1586
Cl 4.9598 5.2237 0.4748
Ga 3.6620 3.7330 2.6708
Ga 3.5268 3.4860 6.6637
Cl 5.9916 2.1514 7.1759
```

Properties
* energy relative to the elements, uncorrected: -1.205 eV/atom
* energy: -0.146 Ha/atom